Computed, not measured: a relaxed structure of Sr2TlRe at the PBE-GGA level of DFT.

The calculated volume is 28.7 A^3/atom. The formation energy comes out at 0.816 eV per atom. The space group is R-3m. As for the total magnetic moment: 1.0 Bohr magnetons per cell.

abc: 10.8232 10.8232 10.8232
angles: 18.76 18.76 18.76
Last column: magnetic moment on the atom in μB.
Element x y z (fractional)
1 Sr 0.4907 0.4907 0.4907  0.01
2 Sr 0.0093 0.0093 0.0093  0.01
3 Re 0.7500 0.7500 0.7500  0.87
4 Tl 0.2500 0.2500 0.2500  0.00

=====

Computed, not measured: a relaxed structure of FeBiPd6 at the PBE-GGA level of DFT.

The calculated volume is 16.2 A^3/atom. The formation energy comes out at -0.164 eV per atom. The space group is P4/mmm. As for the total magnetic moment: 4.5 Bohr magnetons per cell.

abc: 4.0231 4.0231 8.0178
angles: 90.00 90.00 90.00
Last column: magnetic moment on the atom in μB.
Element x y z (fractional)
1 Pd 0.5000 0.5000 0.0000  0.07
2 Pd 0.0000 0.5000 0.7317  0.19
3 Pd 0.5000 0.0000 0.2683  0.19
4 Pd 0.5000 0.0000 0.7317  0.19
5 Pd 0.5000 0.5000 0.5000  0.27
6 Pd 0.0000 0.5000 0.2683  0.19
7 Fe 0.0000 0.0000 0.5000  3.40
8 Bi 0.0000 0.0000 0.0000  0.01

=====

Computed, not measured: a relaxed structure of Tb2DyAu at the PBE-GGA level of DFT.

The calculated volume is 29.2 A^3/atom. The formation energy comes out at -0.271 eV per atom. The space group is R-3m. As for the total magnetic moment: 0.0 Bohr magnetons per cell.

abc: 3.6561 3.6561 10.3069
angles: 79.78 79.78 60.00
Element x y z (fractional)
1 Tb 0.2622 0.2622 0.2134
2 Tb 0.7378 0.7378 0.7866
3 Dy 0.5000 0.5000 0.5000
4 Au 0.0000 0.0000 0.0000

=====

Computed, not measured: a relaxed structure of ScMo2Cl at the PBE-GGA level of DFT.

The calculated volume is 18.6 A^3/atom. The uncorrected formation energy comes out at -0.9 eV per formula unit. The space group is Pm. As for the total magnetic moment: 0.0 Bohr magnetons per cell.

abc: 3.1417 3.2262 7.4997
angles: 77.66 90.00 90.00
Element x y z (fractional)
1 Mo 0.0000 0.7887 0.0471
2 Mo 0.5000 0.1977 0.2304
3 Sc 0.0000 0.5725 0.4822
4 Cl 0.5000 0.9411 0.7403

=====

Computed, not measured: a relaxed structure of YAlP2O8 at the PBE-GGA level of DFT.

The calculated volume is 11.7 A^3/atom. The uncorrected formation energy comes out at -32.7 eV per formula unit. The space group is P-3m1. As for the total magnetic moment: 0.0 Bohr magnetons per cell.

abc: 5.0312 5.0312 6.3890
angles: 90.00 90.00 120.00
Element x y z (fractional)
1 P 0.6667 0.3333 0.2661
2 P 0.3333 0.6667 0.7339
3 O 0.6667 0.3333 0.5057
4 O 0.3333 0.6667 0.4943
5 O 0.1651 0.8349 0.8100
6 O 0.6698 0.8349 0.8100
7 O 0.8349 0.6698 0.1900
8 O 0.1651 0.3302 0.8100
9 O 0.8349 0.1651 0.1900
10 O 0.3302 0.1651 0.1900
11 Y 0.0000 0.0000 0.5000
12 Al 0.0000 0.0000 0.0000

=====

Computed, not measured: a relaxed structure of CsZnRe3 at the PBE-GGA level of DFT.

The calculated volume is 22.2 A^3/atom. The formation energy comes out at 2.689 eV per atom. The space group is Pm-3m. As for the total magnetic moment: 4.9 Bohr magnetons per cell.

abc: 4.8040 4.8040 4.8040
angles: 90.00 90.00 90.00
Last column: magnetic moment on the atom in μB.
Element x y z (fractional)
1 Re 0.0000 0.0000 0.5000  1.33
2 Re 0.0000 0.5000 0.0000  1.45
3 Re 0.5000 0.0000 0.0000  1.23
4 Cs 0.5000 0.5000 0.5000  0.14
5 Zn 0.0000 0.0000 0.0000  0.03